(1)
This record from Alexandria describes crystalline KAs4Br12 at its relaxed geometry. The functional is PBE.

Structure (POSCAR):
```
KAs4Br12
1.0
-5.1861 5.1861 5.1861
5.1861 -5.1861 5.1861
5.1861 5.1861 -5.1861
K As Br
1 4 12
Direct
0.0000 0.0000 0.0000
0.0000 0.0000 0.5000
0.0000 0.5000 0.0000
0.5000 0.0000 0.0000
0.5000 0.5000 0.5000
0.0982 0.8046 0.2936
0.1954 0.2936 0.4891
0.1954 0.7064 0.9018
0.2936 0.0982 0.8046
0.2936 0.4891 0.1954
0.4891 0.1954 0.2936
0.5109 0.8046 0.7064
0.7064 0.5109 0.8046
0.7064 0.9018 0.1954
0.8046 0.2936 0.0982
0.8046 0.7064 0.5109
0.9018 0.1954 0.7064
```

Summary:
formation energy without anion corrections: -0.45 eV per atom



(2)
This record from Alexandria describes crystalline Ta2Be2Ru5W at its relaxed geometry. The functional is PBE.

Structure (POSCAR):
```
Ta2Be2Ru5W
1.0
9.4021 0.0000 0.0000
0.0000 9.4021 0.0000
0.0000 0.0000 3.1074
Ta Be Ru W
4 4 10 2
Direct
0.1739 0.3261 0.0000
0.3261 0.8261 0.0000
0.6739 0.1739 0.0000
0.8261 0.6739 0.0000
0.1210 0.6210 0.0000
0.3790 0.1210 0.0000
0.6210 0.8790 0.0000
0.8790 0.3790 0.0000
0.0000 0.5000 0.5000
0.0725 0.7902 0.5000
0.2098 0.0725 0.5000
0.2902 0.5725 0.5000
0.4275 0.2902 0.5000
0.5000 0.0000 0.5000
0.5725 0.7098 0.5000
0.7098 0.4275 0.5000
0.7902 0.9275 0.5000
0.9275 0.2098 0.5000
0.0000 0.0000 0.0000
0.5000 0.5000 0.0000
```

Summary:
formation energy from the elements: -0.367 eV per atom



(3)
This record from Alexandria describes crystalline Li2ZrTa at its relaxed geometry. The functional is PBE.

Structure (POSCAR):
```
Li2ZrTa
1.0
1.4349 0.8284 10.8787
-1.4349 0.8284 10.8787
0.0000 -1.6568 10.8787
Li Zr Ta
2 1 1
Direct
0.2457 0.2457 0.2457
0.7543 0.7543 0.7543
0.0000 0.0000 0.0000
0.5000 0.5000 0.5000
```

Summary:
formation energy from the elements: 0.339 eV per atom
energy above the most stable polymorph in this dataset: 130.1 meV/atom



(4)
This record from Alexandria describes crystalline BiI2Cl at its relaxed geometry. The functional is PBE.

Structure (POSCAR):
```
BiI2Cl
1.0
8.3666 -2.1958 0.0000
8.3666 2.1958 0.0000
-0.0967 0.0000 5.4687
Bi I Cl
1 2 1
Direct
0.0000 0.0000 0.0000
0.3686 0.3686 0.9929
0.6314 0.6314 0.0071
0.0000 0.0000 0.5000
```

Summary:
formation energy without anion corrections: -0.60 eV per atom
energy above the most stable polymorph in this dataset: 0.0 meV/atom



(5)
This record from Alexandria describes crystalline GaSb2TeAs at its relaxed geometry. The functional is PBE.

Structure (POSCAR):
```
GaSb2TeAs
1.0
5.3611 0.0000 0.0000
0.0000 5.3611 0.0000
0.0000 0.0000 5.6407
Ga Sb Te As
1 2 1 1
Direct
0.0000 0.0000 0.0000
0.0000 0.5000 0.5000
0.5000 0.0000 0.5000
0.5000 0.5000 0.0000
0.5000 0.5000 0.5000
```

Summary:
formation energy without anion corrections: 0.55 eV per atom
energy above the most stable polymorph in this dataset: 0.0 meV/atom



(6)
This record from Alexandria describes crystalline AgSnGe2Se4 at its relaxed geometry. The functional is PBE.

Structure (POSCAR):
```
AgSnGe2Se4
1.0
0.0000 5.7286 4.1217
3.9958 0.0000 4.1217
3.9958 5.7286 0.0000
Ag Sn Ge Se
1 1 2 4
Direct
0.0000 0.0000 0.0000
0.5011 0.5011 0.4989
0.2401 0.2401 0.2599
0.7401 0.7401 0.7599
0.0086 0.5075 0.9914
0.2748 0.7793 0.2207
0.5075 0.0086 0.4925
0.7793 0.2748 0.7252
```

Summary:
formation energy without anion corrections: -0.23 eV per atom



(7)
This record from Alexandria describes crystalline CaCuPb2 at its relaxed geometry. The functional is PBE.

Structure (POSCAR):
```
CaCuPb2
1.0
3.6913 0.0000 0.0000
0.0000 4.5576 0.0000
-0.9625 0.0000 6.3049
Ca Cu Pb
1 1 2
Direct
0.0000 0.0000 0.0000
0.5000 0.0000 0.5000
0.3663 0.5000 0.7267
0.6337 0.5000 0.2733
```

Summary:
formation energy from the elements: -0.106 eV per atom



(8)
This record from Alexandria describes crystalline YHgBr2 at its relaxed geometry. The functional is PBE.

Structure (POSCAR):
```
YHgBr2
1.0
4.5436 0.0000 0.0000
0.0000 4.8122 0.0000
0.0000 0.0000 4.8267
Y Hg Br
1 1 2
Direct
0.0000 0.0000 0.0000
0.0000 0.5000 0.5000
0.5000 0.0000 0.5000
0.5000 0.5000 0.0000
```

Summary:
formation energy without anion corrections: -0.73 eV per atom
energy above the most stable polymorph in this dataset: 449.4 meV/atom



(9)
This record from Alexandria describes crystalline ZrIr2Pb at its relaxed geometry. The functional is PBE.

Structure (POSCAR):
```
ZrIr2Pb
1.0
3.2678 0.0000 0.0000
0.0000 3.6778 0.0000
0.0000 0.0000 6.3028
Zr Ir Pb
1 2 1
Direct
0.0000 0.0000 0.0000
0.5000 0.5000 0.2292
0.5000 0.5000 0.7708
0.0000 0.0000 0.5000
```

Summary:
formation energy from the elements: -0.243 eV per atom



(10)
This record from Alexandria describes crystalline DySc4Cu5 at its relaxed geometry. The functional is PBE.

Structure (POSCAR):
```
DySc4Cu5
1.0
3.2773 0.0000 0.0000
0.0000 3.2773 0.0000
0.0000 0.0000 16.7078
Dy Sc Cu
1 4 5
Direct
0.0000 0.0000 0.0000
0.0000 0.0000 0.2071
0.0000 0.0000 0.4025
0.0000 0.0000 0.5975
0.0000 0.0000 0.7929
0.5000 0.5000 0.1141
0.5000 0.5000 0.3044
0.5000 0.5000 0.5000
0.5000 0.5000 0.6956
0.5000 0.5000 0.8859
```

Summary:
formation energy from the elements: -0.269 eV per atom



(11)
This record from Alexandria describes crystalline InSiHg2 at its relaxed geometry. The functional is PBE.

Structure (POSCAR):
```
InSiHg2
1.0
0.0000 3.6055 3.6055
3.6055 0.0000 3.6055
3.6055 3.6055 0.0000
In Si Hg
1 1 2
Direct
0.0000 0.0000 0.0000
0.2500 0.2500 0.2500
0.5000 0.5000 0.5000
0.7500 0.7500 0.7500
```

Summary:
formation energy without anion corrections: 0.40 eV per atom



(12)
This record from Alexandria describes crystalline Cs2TbYSe4 at its relaxed geometry. The functional is PBE.

Structure (POSCAR):
```
Cs2TbYSe4
1.0
7.4090 0.0000 0.0000
0.0000 4.2782 0.0000
-2.4680 0.0000 8.3741
Cs Tb Y Se
2 1 1 4
Direct
0.0000 0.0000 0.0000
0.5000 0.5000 0.0000
0.0000 0.5000 0.5000
0.5000 0.0000 0.5000
0.2292 0.0000 0.6861
0.2720 0.5000 0.3141
0.7280 0.5000 0.6859
0.7708 0.0000 0.3139
```

Summary:
formation energy without anion corrections: -1.73 eV per atom



(13)
This record from Alexandria describes crystalline InRuAu2 at its relaxed geometry. The functional is PBE.

Structure (POSCAR):
```
InRuAu2
1.0
2.8337 -3.9257 0.0000
2.8337 3.9257 0.0000
0.0000 0.0000 3.2069
In Ru Au
1 1 2
Direct
0.0000 0.0000 0.0000
0.5000 0.5000 0.0000
0.0000 0.5000 0.5000
0.5000 0.0000 0.5000
```

Summary:
formation energy from the elements: 0.188 eV per atom



(14)
This record from Alexandria describes crystalline Ca4Ac2N at its relaxed geometry. The functional is PBE.

Structure (POSCAR):
```
Ca4Ac2N
1.0
-2.4125 2.4125 11.0242
2.4125 -2.4125 11.0242
2.4125 2.4125 -11.0242
Ca Ac N
4 2 1
Direct
0.0000 0.5000 0.5000
0.1104 0.1104 0.0000
0.5000 0.0000 0.5000
0.8896 0.8896 0.0000
0.2991 0.2991 0.0000
0.7009 0.7009 0.0000
0.0000 0.0000 0.0000
```

Summary:
formation energy without anion corrections: -0.19 eV per atom



(15)
This record from Alexandria describes crystalline Ca2GeAu2 at its relaxed geometry. The functional is PBE.

Structure (POSCAR):
```
Ca2GeAu2
1.0
8.2667 0.0000 0.0000
0.0000 8.2667 0.0000
0.0000 0.0000 3.6675
Ca Ge Au
4 2 4
Direct
0.1678 0.3322 0.0000
0.3322 0.8322 0.0000
0.6678 0.1678 0.0000
0.8322 0.6678 0.0000
0.0000 0.0000 0.0000
0.5000 0.5000 0.0000
0.1258 0.6258 0.5000
0.3742 0.1258 0.5000
0.6258 0.8742 0.5000
0.8742 0.3742 0.5000
```

Summary:
formation energy from the elements: -0.439 eV per atom



(16)
This record from Alexandria describes crystalline KHf2Sb2 at its relaxed geometry. The functional is PBE.

Structure (POSCAR):
```
KHf2Sb2
1.0
8.5298 0.0000 0.0000
0.0000 8.5298 0.0000
0.0000 0.0000 3.6096
K Hf Sb
2 4 4
Direct
0.0000 0.0000 0.0000
0.5000 0.5000 0.0000
0.1267 0.3733 0.5000
0.3733 0.8733 0.5000
0.6267 0.1267 0.5000
0.8733 0.6267 0.5000
0.1539 0.6539 0.0000
0.3461 0.1539 0.0000
0.6539 0.8461 0.0000
0.8461 0.3461 0.0000
```

Summary:
formation energy without anion corrections: -0.12 eV per atom
energy above the most stable polymorph in this dataset: 188.9 meV/atom



(17)
This record from Alexandria describes crystalline TaTeS2Cl at its relaxed geometry. The functional is PBE.

Structure (POSCAR):
```
TaTeS2Cl
1.0
4.8552 0.0000 0.0000
0.0000 4.8552 0.0000
0.0000 0.0000 4.8409
Ta Te S Cl
1 1 2 1
Direct
0.0000 0.0000 0.0000
0.5000 0.5000 0.5000
0.0000 0.5000 0.0000
0.5000 0.0000 0.0000
0.0000 0.0000 0.5000
```

Summary:
formation energy without anion corrections: -0.14 eV per atom
energy above the most stable polymorph in this dataset: 0.0 meV/atom



(18)
This record from Alexandria describes crystalline Rb4Np3InSe8 at its relaxed geometry. The functional is PBE.

Structure (POSCAR):
```
Rb4Np3InSe8
1.0
7.5197 -4.3396 0.0000
7.5197 4.3396 0.0000
-5.0153 0.0000 7.9616
Rb Np In Se
4 3 1 8
Direct
0.0000 0.0000 0.0000
0.0000 0.5000 0.0000
0.5000 0.0000 0.0000
0.5000 0.5000 0.0000
0.0000 0.0000 0.5000
0.0000 0.5000 0.5000
0.5000 0.0000 0.5000
0.5000 0.5000 0.5000
0.2267 0.7327 0.6927
0.2332 0.2332 0.6954
0.2652 0.2652 0.3076
0.2673 0.7733 0.3073
0.7327 0.2267 0.6927
0.7348 0.7348 0.6924
0.7668 0.7668 0.3046
0.7733 0.2673 0.3073
```

Summary:
formation energy without anion corrections: -1.30 eV per atom



(19)
This record from Alexandria describes crystalline CaIn2Ag3 at its relaxed geometry. The functional is PBE.

Structure (POSCAR):
```
CaIn2Ag3
1.0
8.7900 -2.3588 0.0000
8.7900 2.3588 0.0000
-1.4669 0.0000 6.5390
Ca In Ag
2 4 6
Direct
0.1170 0.1170 0.1504
0.8830 0.8830 0.8496
0.2325 0.2325 0.6637
0.4830 0.4830 0.2125
0.5170 0.5170 0.7875
0.7675 0.7675 0.3363
0.0706 0.0706 0.6492
0.3050 0.3050 0.0836
0.3695 0.3695 0.5099
0.6305 0.6305 0.4901
0.6950 0.6950 0.9164
0.9294 0.9294 0.3508
```

Summary:
formation energy from the elements: -0.218 eV per atom



(20)
This record from Alexandria describes crystalline YMn10Si2 at its relaxed geometry. The functional is PBE.

Structure (POSCAR):
```
YMn10Si2
1.0
4.1140 -4.8000 0.0000
4.1140 4.8000 0.0000
0.0000 0.0000 8.1072
Y Mn Si
2 20 4
Direct
0.1294 0.8706 0.7500
0.8706 0.1294 0.2500
0.1261 0.3694 0.7500
0.1757 0.8243 0.1090
0.1757 0.8243 0.3910
0.2154 0.2154 0.0000
0.2154 0.2154 0.5000
0.2577 0.4765 0.2500
0.3694 0.1261 0.2500
0.3960 0.6040 0.5645
0.3960 0.6040 0.9355
0.4765 0.2577 0.7500
0.5235 0.7423 0.2500
0.6040 0.3960 0.0645
0.6040 0.3960 0.4355
0.6306 0.8739 0.7500
0.7423 0.5235 0.7500
0.7846 0.7846 0.0000
0.7846 0.7846 0.5000
0.8243 0.1757 0.6090
0.8243 0.1757 0.8910
0.8739 0.6306 0.2500
0.0000 0.5000 0.0000
0.0000 0.5000 0.5000
0.5000 0.0000 0.0000
0.5000 0.0000 0.5000
```

Summary:
formation energy without anion corrections: -0.20 eV per atom



(21)
This record from Alexandria describes crystalline Ce2MnAs2N2 at its relaxed geometry. The functional is PBE.

Structure (POSCAR):
```
Ce2MnAs2N2
1.0
5.5577 -1.9575 0.0000
5.5577 1.9575 0.0000
-2.9210 0.0000 5.7190
Ce Mn As N
2 1 2 2
Direct
0.2056 0.2056 0.2457
0.7944 0.7944 0.7543
0.0000 0.0000 0.5000
0.4681 0.4681 0.1921
0.5319 0.5319 0.8079
0.1914 0.1914 0.5910
0.8086 0.8086 0.4090
```

Summary:
formation energy without anion corrections: -1.05 eV per atom



(22)
This record from Alexandria describes crystalline ZrCdPdO2 at its relaxed geometry. The functional is PBE.

Structure (POSCAR):
```
ZrCdPdO2
1.0
4.0553 0.0000 0.0000
0.0000 4.0553 0.0000
0.0000 0.0000 5.6949
Zr Cd Pd O
1 1 1 2
Direct
0.0000 0.0000 0.0000
0.5000 0.5000 0.5000
0.0000 0.0000 0.5000
0.0000 0.5000 0.0000
0.5000 0.0000 0.0000
```

Summary:
formation energy without anion corrections: -1.36 eV per atom



(23)
This record from Alexandria describes crystalline Zr3ScSn2 at its relaxed geometry. The functional is PBE.

Structure (POSCAR):
```
Zr3ScSn2
1.0
4.1824 0.0000 0.0000
0.0000 4.1824 0.0000
0.0000 0.0000 7.9550
Zr Sc Sn
3 1 2
Direct
0.0000 0.0000 0.0000
0.0000 0.5000 0.6506
0.5000 0.0000 0.3494
0.5000 0.5000 0.0000
0.0000 0.5000 0.2779
0.5000 0.0000 0.7221
```

Summary:
formation energy from the elements: -0.450 eV per atom
energy above the most stable polymorph in this dataset: 0.0 meV/atom



(24)
This record from Alexandria describes crystalline SrTcRh2 at its relaxed geometry. The functional is PBE.

Structure (POSCAR):
```
SrTcRh2
1.0
2.9774 0.0000 0.0000
0.0000 2.9774 0.0000
0.0000 0.0000 8.0877
Sr Tc Rh
1 1 2
Direct
0.0000 0.0000 0.0000
0.0000 0.0000 0.5000
0.5000 0.5000 0.2972
0.5000 0.5000 0.7028
```

Summary:
formation energy from the elements: 0.140 eV per atom
energy above the most stable polymorph in this dataset: 0.0 meV/atom